1.
LaErPaO6 after structural relaxation, computed with GGA-PBE.

Unit cell a=5.9154 b=5.9154 c=4.6938 alpha=90.00 beta=90.00 gamma=120.00
Positions (direct):
La 0.0000 0.0000 0.0000
Er 0.3333 0.6667 0.0000
Pa 0.6667 0.3333 0.5000
O 0.3632 0.0113 0.2465
O 0.3632 0.3520 0.7535
O 0.6480 0.0113 0.7535
O 0.6480 0.6368 0.2465
O 0.9887 0.3520 0.2465
O 0.9887 0.6368 0.7535

- Formation energy from raw total energies: -28.71 eV per formula unit
- Crystal system: trigonal


2.
LaErPbO2 after structural relaxation, computed with GGA-PBE.

Unit cell a=3.9238 b=3.9238 c=14.4715 alpha=90.00 beta=90.00 gamma=90.00
Positions (direct):
La 0.0000 0.0000 0.0000
La 0.5000 0.5000 0.5000
Er 0.0000 0.0000 0.3384
Er 0.5000 0.5000 0.8384
Pb 0.0000 0.0000 0.6715
Pb 0.5000 0.5000 0.1715
O 0.0000 0.5000 0.4101
O 0.0000 0.5000 0.9101
O 0.5000 0.0000 0.4101
O 0.5000 0.0000 0.9101

- Formation energy from raw total energies: -12.72 eV per formula unit
- Crystal system: tetragonal


3.
La2ErPdO6 after structural relaxation, computed with GGA-PBE.

Unit cell a=5.7115 b=5.8505 c=10.1907 alpha=90.00 beta=121.38 gamma=90.00
Positions (direct):
La 0.2217 0.0514 0.2436
La 0.2217 0.4486 0.7436
La 0.7783 0.5514 0.2564
La 0.7783 0.9486 0.7564
Er 0.5000 0.0000 0.0000
Er 0.5000 0.5000 0.5000
Pd 0.0000 0.0000 0.5000
Pd 0.0000 0.5000 0.0000
O 0.1365 0.2150 0.9390
O 0.1365 0.2850 0.4390
O 0.2089 0.7049 0.9276
O 0.2089 0.7951 0.4276
O 0.3836 0.0538 0.7580
O 0.3836 0.4462 0.2580
O 0.6164 0.5538 0.7420
O 0.6164 0.9462 0.2420
O 0.7911 0.2049 0.5724
O 0.7911 0.2951 0.0724
O 0.8635 0.7150 0.5610
O 0.8635 0.7850 0.0610

- Formation energy from raw total energies: -26.76 eV per formula unit
- Crystal system: monoclinic


4.
LaEr2ReO8 after structural relaxation, computed with GGA-PBE.

Unit cell a=5.0410 b=5.0410 c=6.9189 alpha=90.00 beta=90.00 gamma=90.41
Positions (direct):
La 0.0000 0.0000 0.0000
Er 0.5000 0.5000 0.2492
Er 0.5000 0.5000 0.7508
Re 0.0000 0.0000 0.5000
O 0.1860 0.1860 0.3018
O 0.1860 0.1860 0.6982
O 0.2672 0.7328 0.5000
O 0.3176 0.6824 0.0000
O 0.6824 0.3176 0.0000
O 0.7328 0.2672 0.5000
O 0.8140 0.8140 0.3018
O 0.8140 0.8140 0.6982

- Formation energy from raw total energies: -33.64 eV per formula unit
- Crystal system: orthorhombic


5.
LaEr2RuO8 after structural relaxation, computed with GGA-PBE.

Unit cell a=5.0330 b=6.9010 c=5.0377 alpha=90.00 beta=90.26 gamma=90.00
Positions (direct):
La 0.0000 0.0000 0.0000
Er 0.5000 0.2516 0.5000
Er 0.5000 0.7484 0.5000
Ru 0.0000 0.5000 0.0000
O 0.1883 0.2999 0.1866
O 0.1883 0.7001 0.1866
O 0.2696 0.5000 0.7288
O 0.3169 0.0000 0.6807
O 0.6831 0.0000 0.3193
O 0.7304 0.5000 0.2712
O 0.8117 0.2999 0.8134
O 0.8117 0.7001 0.8134

- Formation energy from raw total energies: -28.86 eV per formula unit
- Crystal system: monoclinic


6.
LaErS2O8 after structural relaxation, computed with GGA-PBE.

Unit cell a=5.5657 b=5.5657 c=7.1025 alpha=90.00 beta=90.00 gamma=120.00
Positions (direct):
La 0.0000 0.0000 0.0000
Er 0.0000 0.0000 0.5000
S 0.3333 0.6667 0.2388
S 0.6667 0.3333 0.7612
O 0.1656 0.3313 0.2797
O 0.1656 0.8344 0.2797
O 0.3313 0.1656 0.7203
O 0.3333 0.6667 0.0281
O 0.6667 0.3333 0.9719
O 0.6687 0.8344 0.2797
O 0.8344 0.1656 0.7203
O 0.8344 0.6687 0.7203

- Formation energy from raw total energies: -22.93 eV per formula unit
- Crystal system: trigonal


7.
La2ErS2O2 after structural relaxation, computed with GGA-PBE.

Unit cell a=4.2942 b=4.2942 c=15.1661 alpha=90.00 beta=90.00 gamma=90.00
Positions (direct):
La 0.0000 0.0000 0.1332
La 0.0000 0.0000 0.8668
La 0.5000 0.5000 0.3668
La 0.5000 0.5000 0.6332
Er 0.0000 0.0000 0.5000
Er 0.5000 0.5000 0.0000
S 0.0000 0.0000 0.3230
S 0.0000 0.0000 0.6770
S 0.5000 0.5000 0.1770
S 0.5000 0.5000 0.8230
O 0.0000 0.5000 0.0000
O 0.0000 0.5000 0.5000
O 0.5000 0.0000 0.0000
O 0.5000 0.0000 0.5000

- Formation energy from raw total energies: -18.46 eV per formula unit
- Crystal system: tetragonal


8.
LaErSbO2 after structural relaxation, computed with GGA-PBE.

Unit cell a=7.3793 b=7.3793 c=5.5692 alpha=90.00 beta=90.00 gamma=135.48
Positions (direct):
La 0.0927 0.9073 0.7500
La 0.9073 0.0927 0.2500
Er 0.4225 0.5775 0.7500
Er 0.5775 0.4225 0.2500
Sb 0.2497 0.7503 0.2500
Sb 0.7503 0.2497 0.7500
O 0.2582 0.2582 0.0000
O 0.2582 0.2582 0.5000
O 0.7418 0.7418 0.0000
O 0.7418 0.7418 0.5000

- Formation energy from raw total energies: -13.61 eV per formula unit
- Crystal system: orthorhombic


9.
La2ErScO after structural relaxation, computed with GGA-PBE.

Unit cell a=5.2845 b=5.2845 c=4.5667 alpha=90.00 beta=90.00 gamma=90.00
Positions (direct):
La 0.0000 0.5000 0.0000
La 0.5000 0.0000 0.0000
Er 0.0000 0.0000 0.5000
Sc 0.5000 0.5000 0.5000
O 0.0000 0.0000 0.0000

- Formation energy from raw total energies: -5.78 eV per formula unit
- Crystal system: tetragonal


10.
LaErSe2O after structural relaxation, computed with GGA-PBE.

Unit cell a=4.0755 b=4.0755 c=14.5456 alpha=90.00 beta=90.00 gamma=90.00
Positions (direct):
La 0.2500 0.2500 0.0850
La 0.7500 0.7500 0.9150
Er 0.2500 0.2500 0.6204
Er 0.7500 0.7500 0.3796
Se 0.2500 0.2500 0.4107
Se 0.2500 0.2500 0.7994
Se 0.7500 0.7500 0.2006
Se 0.7500 0.7500 0.5893
O 0.2500 0.7500 0.0000
O 0.7500 0.2500 0.0000

- Formation energy from raw total energies: -12.27 eV per formula unit
- Crystal system: tetragonal


11.
LaErTaO6 after structural relaxation, computed with GGA-PBE.

Unit cell a=5.6275 b=5.6275 c=5.0212 alpha=90.00 beta=90.00 gamma=120.00
Positions (direct):
La 0.0000 0.0000 0.0000
Er 0.3333 0.6667 0.5000
Ta 0.6667 0.3333 0.5000
O 0.3718 0.0310 0.7192
O 0.3718 0.3408 0.2808
O 0.6592 0.0310 0.2808
O 0.6592 0.6282 0.7192
O 0.9690 0.3408 0.7192
O 0.9690 0.6282 0.2808

- Formation energy from raw total energies: -27.08 eV per formula unit
- Crystal system: trigonal


12.
LaErTe2O after structural relaxation, computed with GGA-PBE.

Unit cell a=4.2532 b=4.2532 c=15.6407 alpha=90.00 beta=90.00 gamma=90.00
Positions (direct):
La 0.2500 0.2500 0.0738
La 0.7500 0.7500 0.9262
Er 0.2500 0.2500 0.6247
Er 0.7500 0.7500 0.3753
Te 0.2500 0.2500 0.4140
Te 0.2500 0.2500 0.8057
Te 0.7500 0.7500 0.1943
Te 0.7500 0.7500 0.5860
O 0.2500 0.7500 0.0000
O 0.7500 0.2500 0.0000

- Formation energy from raw total energies: -10.66 eV per formula unit
- Crystal system: tetragonal


13.
LaErTe2O8 after structural relaxation, computed with GGA-PBE.

Unit cell a=6.3458 b=6.3458 c=6.3458 alpha=107.38 beta=107.38 gamma=113.74
Positions (direct):
La 0.0000 0.0000 0.0000
Er 0.2500 0.7500 0.5000
Te 0.5000 0.5000 0.0000
Te 0.7500 0.2500 0.5000
O 0.3045 0.1115 0.8070
O 0.3045 0.4976 0.1930
O 0.3745 0.0520 0.3225
O 0.5024 0.6955 0.8070
O 0.7295 0.0520 0.6775
O 0.8885 0.6955 0.1930
O 0.9480 0.2705 0.3225
O 0.9480 0.6255 0.6775

- Formation energy from raw total energies: -23.29 eV per formula unit
- Crystal system: tetragonal


14.
La2ErTe2O2 after structural relaxation, computed with GGA-PBE.

Unit cell a=4.4126 b=4.4126 c=16.8189 alpha=90.00 beta=90.00 gamma=90.00
Positions (direct):
La 0.0000 0.0000 0.1111
La 0.0000 0.0000 0.8889
La 0.5000 0.5000 0.3889
La 0.5000 0.5000 0.6111
Er 0.0000 0.0000 0.5000
Er 0.5000 0.5000 0.0000
Te 0.0000 0.0000 0.3187
Te 0.0000 0.0000 0.6813
Te 0.5000 0.5000 0.1813
Te 0.5000 0.5000 0.8187
O 0.0000 0.5000 0.0000
O 0.0000 0.5000 0.5000
O 0.5000 0.0000 0.0000
O 0.5000 0.0000 0.5000

- Formation energy from raw total energies: -16.32 eV per formula unit
- Crystal system: tetragonal


15.
La2ErTlO6 after structural relaxation, computed with GGA-PBE.

Unit cell a=6.1742 b=6.1742 c=6.1742 alpha=58.30 beta=58.30 gamma=58.30
Positions (direct):
La 0.0000 0.0000 0.0000
La 0.4973 0.4973 0.4973
Er 0.7215 0.7215 0.7215
Tl 0.2231 0.2231 0.2231
O 0.0820 0.8412 0.4289
O 0.3509 0.5917 0.9190
O 0.4289 0.0820 0.8412
O 0.5917 0.9190 0.3509
O 0.8412 0.4289 0.0820
O 0.9190 0.3509 0.5917

- Formation energy from raw total energies: -27.65 eV per formula unit
- Crystal system: trigonal


16.
La12ErTl4O3 after structural relaxation, computed with GGA-PBE.

Unit cell a=9.1394 b=9.1394 c=9.1394 alpha=109.47 beta=109.47 gamma=109.47
Positions (direct):
La 0.0000 0.2756 0.2756
La 0.0000 0.7244 0.7244
La 0.2500 0.5000 0.7500
La 0.2500 0.7500 0.5000
La 0.2756 0.0000 0.2756
La 0.2756 0.2756 0.0000
La 0.5000 0.2500 0.7500
La 0.5000 0.7500 0.2500
La 0.7244 0.0000 0.7244
La 0.7244 0.7244 0.0000
La 0.7500 0.2500 0.5000
La 0.7500 0.5000 0.2500
Er 0.0000 0.0000 0.0000
Tl 0.0000 0.0000 0.5000
Tl 0.0000 0.5000 0.0000
Tl 0.5000 0.0000 0.0000
Tl 0.5000 0.5000 0.5000
O 0.0000 0.5000 0.5000
O 0.5000 0.0000 0.5000
O 0.5000 0.5000 0.0000

- Formation energy from raw total energies: -16.61 eV per formula unit
- Crystal system: cubic


17.
LaErUO6 after structural relaxation, computed with GGA-PBE.

Unit cell a=5.8051 b=5.8051 c=9.9177 alpha=90.00 beta=90.00 gamma=120.00
Positions (direct):
La 0.0000 0.0000 0.0000
La 0.0000 0.0000 0.5000
Er 0.3333 0.6667 0.2500
Er 0.6667 0.3333 0.7500
U 0.3333 0.6667 0.7500
U 0.6667 0.3333 0.2500
O 0.0198 0.3649 0.6390
O 0.0198 0.6549 0.8610
O 0.3451 0.3649 0.8610
O 0.3451 0.9802 0.6390
O 0.3649 0.0198 0.1390
O 0.3649 0.3451 0.3610
O 0.6351 0.6549 0.6390
O 0.6351 0.9802 0.8610
O 0.6549 0.0198 0.3610
O 0.6549 0.6351 0.1390
O 0.9802 0.3451 0.1390
O 0.9802 0.6351 0.3610

- Formation energy from raw total energies: -30.55 eV per formula unit
- Crystal system: trigonal


18.
LaEr2UO8 after structural relaxation, computed with GGA-PBE.

Unit cell a=3.9018 b=5.3172 c=7.6885 alpha=90.00 beta=90.00 gamma=90.00
Positions (direct):
La 0.0000 0.0000 0.0000
Er 0.5000 0.5000 0.2647
Er 0.5000 0.5000 0.7353
U 0.0000 0.0000 0.5000
O 0.0000 0.2455 0.2788
O 0.0000 0.2455 0.7212
O 0.0000 0.7545 0.2788
O 0.0000 0.7545 0.7212
O 0.5000 0.2341 0.5000
O 0.5000 0.2798 0.0000
O 0.5000 0.7202 0.0000
O 0.5000 0.7659 0.5000

- Formation energy from raw total energies: -39.40 eV per formula unit
- Crystal system: orthorhombic


19.
La2ErOs after structural relaxation, computed with GGA-PBE.

Unit cell a=3.9244 b=3.9244 c=31.6115 alpha=90.00 beta=90.00 gamma=120.00
Positions (direct):
La 0.0000 0.0000 0.1138
La 0.0000 0.0000 0.8862
La 0.3333 0.6667 0.5529
La 0.3333 0.6667 0.7805
La 0.6667 0.3333 0.2195
La 0.6667 0.3333 0.4471
Er 0.0000 0.0000 0.0000
Er 0.3333 0.6667 0.6667
Er 0.6667 0.3333 0.3333
Os 0.0000 0.0000 0.5000
Os 0.3333 0.6667 0.1667
Os 0.6667 0.3333 0.8333

- DFT formation energy: 320 meV/atom
- E above lowest polymorph: 492 meV per atom
- Crystal system: trigonal


20.
La3ErOs after structural relaxation, computed with GGA-PBE.

Unit cell a=5.6508 b=5.6508 c=5.6508 alpha=90.00 beta=90.00 gamma=90.00
Positions (direct):
La 0.0000 0.0000 0.5000
La 0.0000 0.5000 0.0000
La 0.5000 0.0000 0.0000
Er 0.5000 0.5000 0.5000
Os 0.0000 0.0000 0.0000

- DFT formation energy: 52 meV/atom
- Crystal system: cubic


Number 1: DFT total energy -77.4 eV for the cell shown. Number 2: DFT total energy -71.7 eV for the cell shown. Number 3: DFT total energy -152.2 eV for the cell shown. Number 4: DFT total energy -99.8 eV for the cell shown. Number 5: DFT total energy -91.9 eV for the cell shown. Number 6: DFT total energy -80.3 eV for the cell shown. Number 7: DFT total energy -102.1 eV for the cell shown. Number 8: DFT total energy -74.3 eV for the cell shown. Number 9: DFT total energy -31.5 eV for the cell shown. Number 10: DFT total energy -67.4 eV for the cell shown. Number 11: DFT total energy -78.2 eV for the cell shown. Number 12: DFT total energy -62.8 eV for the cell shown. Number 13: DFT total energy -78.7 eV for the cell shown. Number 14: DFT total energy -93.9 eV for the cell shown. Number 15: DFT total energy -74.2 eV for the cell shown. Number 16: DFT total energy -104.6 eV for the cell shown. Number 17: DFT total energy -162.1 eV for the cell shown. Number 18: DFT total energy -104.4 eV for the cell shown. Number 19: DFT total energy -73.1 eV for the cell shown. Number 20: DFT total energy -30.3 eV for the cell shown.